(1)
Below is crystalline Tl2In4Ga3 at its relaxed geometry, with properties calculated at the PBE-GGA level.

Structure (extended XYZ):
```
9
Lattice="-4.6254 2.9566 1.8601 -5.3415 -1.2602 -2.2487 -3.4174 -3.7418 6.4797" Properties=species:S:1:pos:R:3 pbc="T T T"
Tl -5.4717 -1.0424 6.1116
Tl -2.5711 0.2571 2.2283
In -9.3925 0.7636 2.5223
In -5.9599 0.2979 2.7676
In -3.9918 -2.8090 3.5689
In -7.4244 -2.3433 3.3236
Ga -2.6707 -0.6301 -1.1243
Ga 0.0000 0.0000 0.0000
Ga -4.9834 0.8482 -0.1943
```

Calculated values
As for the formation energy: 0.04 eV per atom. Its crystal system is orthorhombic. The density is 7.75 Mg/m³.

---

(2)
Below is crystalline Tl3In3Ga at its relaxed geometry, with properties calculated at the PBE-GGA level.

Structure (extended XYZ):
```
14
Lattice="8.3257 0.0000 0.0000 0.0000 8.3257 0.0000 0.0000 0.0000 8.3257" Properties=species:S:1:pos:R:3 pbc="T T T"
Tl 2.0814 0.0000 4.1628
Tl 0.0000 4.1628 2.0814
Tl 4.1628 6.2442 0.0000
Tl 6.2442 0.0000 4.1628
Tl 0.0000 4.1628 6.2442
Tl 4.1628 2.0814 0.0000
Ga 4.1628 4.1628 4.1628
Ga 0.0000 0.0000 0.0000
In 0.0000 2.0814 4.1628
In 0.0000 6.2442 4.1628
In 4.1628 0.0000 6.2442
In 6.2442 4.1628 0.0000
In 4.1628 0.0000 2.0814
In 2.0814 4.1628 0.0000
```

Calculated values
As for the formation energy: 0.47 eV per atom. Its crystal system is cubic. The density is 5.91 Mg/m³.

---

(3)
Below is crystalline Tl2InGa at its relaxed geometry, with properties calculated at the PBE-GGA level.

Structure (extended XYZ):
```
4
Lattice="3.3024 0.0000 0.0000 1.6512 2.8599 0.0000 1.6512 0.9533 11.8846" Properties=species:S:1:pos:R:3 pbc="T T T"
Tl 1.6512 0.9533 8.9204
Tl 4.9536 2.8599 2.9642
Ga 0.0000 0.0000 0.0000
In 3.3024 1.9066 5.9423
```

Calculated values
As for the formation energy: 0.12 eV per atom. Its crystal system is trigonal. The density is 8.78 Mg/m³.